VASP calculation (PBE) on a relaxed structure of Er2Tm3Th4.

energy of formation: 0.04 eV/atom
offset from the most stable computed form: 0.0000 eV/atom
raw total energy: -0.2118 Ha/atom
space group: No. 12

Lattice parameters (Å, degrees): 7.9319 7.9319 7.8967 107.43 107.43 36.75
Fractional coordinates of all 9 atoms:
Er  0.1670  0.1670  0.0015
Er  0.8330  0.8330  0.9985
Tm  0.3896  0.3896  0.3348
Tm  0.5000  0.5000  0.0000
Tm  0.6104  0.6104  0.6652
Th  0.0577  0.0577  0.3338
Th  0.2790  0.2790  0.6646
Th  0.7210  0.7210  0.3354
Th  0.9423  0.9423  0.6662